1.
This record from Alexandria describes a relaxed structure of CaSi. The functional is PBE.

Computed properties:
**Fermi-level density of states**: 0.46 states/eV/atom
**Energy relative to the elements, uncorrected**: -275 meV per atom

Cell lengths 3.8367, 3.8367, 8.5149 Å; angles 90.00, 90.00, 120.00 degrees
Sites, in units of the cell vectors:
Ca 0.0000 0.0000 0.9350
Ca 0.6667 0.3333 0.3150
Si 0.0000 0.0000 0.5670
Si 0.6667 0.3333 0.6830

***

2.
This record from Alexandria describes a relaxed structure of Sc2P2Se. The functional is PBE.

Computed properties:
**Fermi-level density of states**: 0.48 states/eV/atom
**Energy relative to the elements, uncorrected**: -1108 meV per atom
**Offset from the most stable computed form**: 0 meV/atom

Cell lengths 3.5711, 3.5711, 7.4964 Å; angles 76.22, 76.22, 90.00 degrees
Sites, in units of the cell vectors:
Sc 0.3878 0.3878 0.2245
Sc 0.6122 0.6122 0.7755
P 0.7500 0.2500 0.5000
P 0.2500 0.7500 0.5000
Se 0.0000 0.0000 0.0000